# In2AgHg | Alexandria | PBE | relaxed
# total DFT energy (no corrections): -8.39 eV per formula unit
# energy relative to the elements: 60 meV/atom
data_In2AgHg
_chemical_formula_sum 'In4 Ag2 Hg2'
_cell_length_a 4.514
_cell_length_b 4.514
_cell_length_c 9.216
_cell_angle_alpha 90.00
_cell_angle_beta 90.00
_cell_angle_gamma 90.00
_space_group_name_H-M_alt 'I 4/m m m'
_space_group_IT_number 139
_space_group_name_Hall '-I 4 2'
loop_
_atom_site_label
_atom_site_type_symbol
_atom_site_fract_x
_atom_site_fract_y
_atom_site_fract_z
In1 In 0.000 0.500 0.250
Ag1 Ag 0.000 0.000 0.000
Hg1 Hg 0.000 0.000 0.500

# CaCd2InHg4 | Alexandria | PBE | relaxed
# total DFT energy (no corrections): -8.44 eV per formula unit
# energy relative to the elements: -83 meV/atom
data_CaCd2InHg4
_chemical_formula_sum 'Ca1 Cd2 In1 Hg4'
_cell_length_a 4.337
_cell_length_b 4.337
_cell_length_c 12.107
_cell_angle_alpha 90.00
_cell_angle_beta 90.00
_cell_angle_gamma 90.00
_space_group_name_H-M_alt 'P 4/m m m'
_space_group_IT_number 123
_space_group_name_Hall '-P 4 2'
loop_
_atom_site_label
_atom_site_type_symbol
_atom_site_fract_x
_atom_site_fract_y
_atom_site_fract_z
Ca1 Ca 0.000 0.000 0.000
Cd1 Cd 0.500 0.500 0.381
In1 In 0.000 0.000 0.500
Hg1 Hg 0.000 0.500 0.195